1.
! Zr2AgSb2 (PBE-GGA, optimized geometry); values from VASP
! Final energy   -60.250 eV for the cell shown
! Excess energy over the best structure of this formula in the dataset   0.00 kcal/mol of atoms
! Space group   No. 127
! Crystal system   tetragonal
! ΔE_f (raw)   -0.387 eV per atom
&SYSTEM
  ibrav = 0, nat = 10, ntyp = 3
/
ATOMIC_SPECIES
Zr 91.22 Zr.upf
Ag 107.87 Ag.upf
Sb 121.76 Sb.upf
CELL_PARAMETERS angstrom
7.8262 0.0000 0.0000
0.0000 7.8262 0.0000
0.0000 0.0000 3.7719
ATOMIC_POSITIONS crystal
Zr 0.1450 0.3550 0.0000
Zr 0.3550 0.8550 0.0000
Zr 0.6450 0.1450 0.0000
Zr 0.8550 0.6450 0.0000
Ag 0.0000 0.0000 0.5000
Ag 0.5000 0.5000 0.5000
Sb 0.1517 0.6517 0.5000
Sb 0.3483 0.1517 0.5000
Sb 0.6517 0.8483 0.5000
Sb 0.8483 0.3483 0.5000



2.
! ZrAgSb (PBE-GGA, optimized geometry); values from VASP
! Final energy   -15.915 eV for the cell shown
! Space group   No. 42
! Crystal system   orthorhombic
! ΔE_f (raw)   -0.131 eV per atom
&SYSTEM
  ibrav = 0, nat = 3, ntyp = 3
/
ATOMIC_SPECIES
Zr 91.22 Zr.upf
Ag 107.87 Ag.upf
Sb 121.76 Sb.upf
CELL_PARAMETERS angstrom
0.0000 2.4703 6.7522
2.0100 0.0000 6.7522
2.0100 2.4703 0.0000
ATOMIC_POSITIONS crystal
Zr 0.0000 0.0000 0.0000
Ag 0.6592 0.6592 0.3408
Sb 0.3376 0.3376 0.6624



3.
! ZrAgSb (PBE-GGA, optimized geometry); values from VASP
! Final energy   -15.833 eV for the cell shown
! Space group   No. 107
! Crystal system   tetragonal
! ΔE_f (raw)   -0.104 eV per atom
&SYSTEM
  ibrav = 0, nat = 3, ntyp = 3
/
ATOMIC_SPECIES
Zr 91.22 Zr.upf
Ag 107.87 Ag.upf
Sb 121.76 Sb.upf
CELL_PARAMETERS angstrom
-1.6004 1.6004 6.5518
1.6004 -1.6004 6.5518
1.6004 1.6004 -6.5518
ATOMIC_POSITIONS crystal
Zr 0.0000 0.0000 0.0000
Ag 0.3442 0.3442 0.0000
Sb 0.6649 0.6649 0.0000



4.
! Zr2AgSb2 (PBE-GGA, optimized geometry); values from VASP
! Final energy   -60.169 eV for the cell shown
! Excess energy over the best structure of this formula in the dataset   0.19 kcal/mol of atoms
! Space group   No. 127
! Crystal system   tetragonal
! ΔE_f (raw)   -0.378 eV per atom
&SYSTEM
  ibrav = 0, nat = 10, ntyp = 3
/
ATOMIC_SPECIES
Zr 91.22 Zr.upf
Ag 107.87 Ag.upf
Sb 121.76 Sb.upf
CELL_PARAMETERS angstrom
7.8375 0.0000 0.0000
0.0000 7.8375 0.0000
0.0000 0.0000 3.8359
ATOMIC_POSITIONS crystal
Zr 0.1434 0.3566 0.0000
Zr 0.3566 0.8566 0.0000
Zr 0.6434 0.1434 0.0000
Zr 0.8566 0.6434 0.0000
Ag 0.0000 0.0000 0.0000
Ag 0.5000 0.5000 0.0000
Sb 0.1548 0.6548 0.5000
Sb 0.3452 0.1548 0.5000
Sb 0.6548 0.8452 0.5000
Sb 0.8452 0.3452 0.5000



5.
! ZrAgSb (PBE-GGA, optimized geometry); values from VASP
! Final energy   -15.460 eV for the cell shown
! Space group   No. 216
! Crystal system   cubic
! ΔE_f (raw)   0.021 eV per atom
&SYSTEM
  ibrav = 0, nat = 3, ntyp = 3
/
ATOMIC_SPECIES
Zr 91.22 Zr.upf
Ag 107.87 Ag.upf
Sb 121.76 Sb.upf
CELL_PARAMETERS angstrom
0.0000 3.3264 3.3264
3.3264 0.0000 3.3264
3.3264 3.3264 0.0000
ATOMIC_POSITIONS crystal
Zr 0.0000 0.0000 0.0000
Ag 0.5000 0.5000 0.5000
Sb 0.2500 0.2500 0.2500



6.
! ZrAgSb (PBE-GGA, optimized geometry); values from VASP
! Final energy   -16.044 eV for the cell shown
! Space group   No. 156
! Crystal system   trigonal
! ΔE_f (raw)   -0.174 eV per atom
&SYSTEM
  ibrav = 0, nat = 3, ntyp = 3
/
ATOMIC_SPECIES
Zr 91.22 Zr.upf
Ag 107.87 Ag.upf
Sb 121.76 Sb.upf
CELL_PARAMETERS angstrom
4.4967 0.0000 0.0000
-2.2484 3.8943 0.0000
0.0000 0.0000 3.7943
ATOMIC_POSITIONS crystal
Zr 0.0000 0.0000 0.0000
Ag 0.6667 0.3333 0.3368
Sb 0.3333 0.6667 0.5611



7.
! Zr3AgSb (PBE-GGA, optimized geometry); values from VASP
! Final energy   -29.463 eV for the cell shown
! Excess energy over the best structure of this formula in the dataset   0.00 kcal/mol of atoms
! Space group   No. 221
! Crystal system   cubic
! ΔE_f (raw)   0.631 eV per atom
&SYSTEM
  ibrav = 0, nat = 5, ntyp = 3
/
ATOMIC_SPECIES
Zr 91.22 Zr.upf
Ag 107.87 Ag.upf
Sb 121.76 Sb.upf
CELL_PARAMETERS angstrom
5.1300 0.0000 0.0000
0.0000 5.1300 0.0000
0.0000 0.0000 5.1300
ATOMIC_POSITIONS crystal
Zr 0.0000 0.0000 0.5000
Zr 0.0000 0.5000 0.0000
Zr 0.5000 0.0000 0.0000
Ag 0.0000 0.0000 0.0000
Sb 0.5000 0.5000 0.5000



8.
! ZrAgSb (PBE-GGA, optimized geometry); values from VASP
! Final energy   -15.675 eV for the cell shown
! Space group   No. 216
! Crystal system   cubic
! ΔE_f (raw)   -0.051 eV per atom
&SYSTEM
  ibrav = 0, nat = 3, ntyp = 3
/
ATOMIC_SPECIES
Zr 91.22 Zr.upf
Ag 107.87 Ag.upf
Sb 121.76 Sb.upf
CELL_PARAMETERS angstrom
0.0000 3.3740 3.3740
3.3740 0.0000 3.3740
3.3740 3.3740 0.0000
ATOMIC_POSITIONS crystal
Zr 0.0000 0.0000 0.0000
Ag 0.2500 0.2500 0.2500
Sb 0.7500 0.7500 0.7500



no.,magnetization (μB per cell)
1,0.00
2,0.00
3,0.00
4,1.35
5,0.00
6,0.00
7,0.00
8,0.00